Cd4BiPb | PBE | relaxed

Cell lengths 3.3656, 5.5785, 8.6005 Å; angles 90.00, 90.20, 90.00 degrees
Last column: nearest neighbours and their distance in Å.
Sites, in units of the cell vectors:
Cd 0.0000 0.0000 0.0000  4 Cd 3.12-3.37, 4 Bi 3.32, 2 Pb 3.33-3.34
Cd 0.0002 0.5000 0.4124  1 Cd 2.93
Cd 0.5012 0.0000 0.3065  1 Pb 3.08, 8 Cd 3.12-3.39, 2 Bi 3.42
Cd 0.9987 0.5000 0.7528  1 Cd 2.93, 2 Bi 3.25-3.26
Bi 0.5000 0.5000 0.0768  10 Cd 3.25-3.42, 2 Bi 3.37
Pb 0.4983 0.0000 0.6651  7 Cd 3.08-3.34, 2 Pb 3.37

Summary:
formation enthalpy at 0 K: 0.084 eV/atom
SG: Pm
energy above the lowest structure with this stoichiometry: 12 meV per atom

PrSnRu2C | PBE | relaxed

Cell lengths 6.1698, 6.1698, 7.5811 Å; angles 90.00, 90.00, 140.23 degrees
Last column: nearest neighbours and their distance in Å.
Sites, in units of the cell vectors:
Pr 0.0488 0.9512 0.7500  4 C 2.88
Pr 0.9512 0.0488 0.2500  4 C 2.88
Sn 0.2305 0.7695 0.2500  6 Ru 2.69-2.70
Sn 0.7695 0.2305 0.7500  6 Ru 2.69-2.70
Ru 0.3449 0.6551 0.5586  1 C 1.85
Ru 0.3449 0.6551 0.9414  1 C 1.85
Ru 0.6551 0.3449 0.0586  1 C 1.85
Ru 0.6551 0.3449 0.4414  1 C 1.85
C 0.5000 0.5000 0.0000  2 Ru 1.85
C 0.5000 0.5000 0.5000  2 Ru 1.85

Summary:
formation enthalpy at 0 K: -0.298 eV/atom
SG: Cmcm

KSrScBr6 | PBE | relaxed

Cell lengths 7.5448, 7.5448, 13.9118 Å; angles 90.00, 90.00, 120.00 degrees
Last column: nearest neighbours and their distance in Å.
Sites, in units of the cell vectors:
K 0.0000 0.0000 0.0000  6 Br 3.37
K 0.0000 0.0000 0.5000  6 Br 3.37
Sr 0.3333 0.6667 0.2500  6 Br 3.06
Sr 0.6667 0.3333 0.7500  6 Br 3.06
Sc 0.3333 0.6667 0.7500  6 Br 2.68
Sc 0.6667 0.3333 0.2500  6 Br 2.68
Br 0.0386 0.3855 0.6373  1 Sc 2.68
Br 0.0386 0.6531 0.8627  1 Sc 2.68
Br 0.3469 0.3855 0.8627  1 Sc 2.68
Br 0.3469 0.9614 0.6373  1 Sc 2.68
Br 0.3855 0.0386 0.1373  1 Sc 2.68
Br 0.3855 0.3469 0.3627  1 Sc 2.68
Br 0.6145 0.6531 0.6373  1 Sc 2.68
Br 0.6145 0.9614 0.8627  1 Sc 2.68
Br 0.6531 0.0386 0.3627  1 Sc 2.68
Br 0.6531 0.6145 0.1373  1 Sc 2.68
Br 0.9614 0.3469 0.1373  1 Sc 2.68
Br 0.9614 0.6145 0.3627  1 Sc 2.68

Summary:
SG: P-31c
formation energy from raw total energies: -1.8654 eV per atom

LiLa5Tl3 | PBE | relaxed

Cell lengths 9.7840, 9.7840, 6.9396 Å; angles 90.00, 90.00, 120.00 degrees
Last column: nearest neighbours and their distance in Å.
Sites, in units of the cell vectors:
Li 0.0000 0.0000 0.0000  2 Li 3.47, 6 La 3.56, 6 Tl 3.76
Li 0.0000 0.0000 0.5000  2 Li 3.47, 6 La 3.56, 6 Tl 3.76
La 0.0000 0.3177 0.2500  5 Tl 3.23-3.48, 2 Li 3.56
La 0.0000 0.6823 0.7500  5 Tl 3.23-3.48, 2 Li 3.56
La 0.3177 0.0000 0.2500  5 Tl 3.23-3.48, 2 Li 3.56
La 0.3177 0.3177 0.7500  5 Tl 3.23-3.48, 2 Li 3.56
La 0.3333 0.6667 0.0000  8 La 3.47-3.76, 6 Tl 3.66
La 0.3333 0.6667 0.5000  8 La 3.47-3.76, 6 Tl 3.66
La 0.6667 0.3333 0.0000  8 La 3.47-3.76, 6 Tl 3.66
La 0.6667 0.3333 0.5000  8 La 3.47-3.76, 6 Tl 3.66
La 0.6823 0.0000 0.7500  5 Tl 3.23-3.48, 2 Li 3.56
La 0.6823 0.6823 0.2500  5 Tl 3.23-3.48, 2 Li 3.56
Tl 0.0000 0.3410 0.7500  5 La 3.23-3.48
Tl 0.0000 0.6590 0.2500  5 La 3.23-3.48
Tl 0.3410 0.0000 0.7500  5 La 3.23-3.48
Tl 0.3410 0.3410 0.2500  5 La 3.23-3.48
Tl 0.6590 0.0000 0.2500  5 La 3.23-3.48
Tl 0.6590 0.6590 0.7500  5 La 3.23-3.48

Summary:
formation enthalpy at 0 K: -0.284 eV/atom
SG: P6_3/mcm